[1]
A plane-wave DFT calculation with PBE-GGA was carried out for a relaxed structure of CaPr3Sm7.

Unit cell a=7.8677 b=7.8677 c=6.5958 alpha=93.42 beta=93.42 gamma=81.39
Atoms (fractional coordinates):
Ca: 0.0000 0.0000 0.0000
Pr: 0.3266 0.6734 0.5000
Pr: 0.5000 0.5000 0.0000
Pr: 0.6734 0.3266 0.5000
Sm: 0.0000 0.0000 0.5000
Sm: 0.0722 0.4147 0.7561
Sm: 0.2647 0.2647 0.2921
Sm: 0.4147 0.0722 0.7561
Sm: 0.5853 0.9278 0.2439
Sm: 0.7353 0.7353 0.7079
Sm: 0.9278 0.5853 0.2439

Energy relative to the elements, kJ/mol of formula units: 232
Energy above the most stable polymorph in this dataset, eV per formula unit: 0.213
V, Å³/f.u.: 402.4
SG: No. 12
N(E_F), states/eV/f.u.: 14.864
Magnetization, μB per cell: 0.00
Crystal system: monoclinic


[2]
A plane-wave DFT calculation with PBE-GGA was carried out for a relaxed structure of Pr2Nd6Sc.

Unit cell a=6.2825 b=6.2825 c=8.7049 alpha=103.46 beta=103.46 gamma=70.85
Atoms (fractional coordinates):
Pr: 0.2221 0.2221 0.4524
Pr: 0.7779 0.7779 0.5476
Nd: 0.2042 0.6837 0.2898
Nd: 0.3163 0.7958 0.7102
Nd: 0.3307 0.3307 0.9154
Nd: 0.6693 0.6693 0.0846
Nd: 0.6837 0.2042 0.2898
Nd: 0.7958 0.3163 0.7102
Sc: 0.0000 0.0000 0.0000

Energy relative to the elements, kJ/mol of formula units: 129
Energy above the most stable polymorph in this dataset, eV per formula unit: 0.544
V, Å³/f.u.: 311.0
SG: No. 12
N(E_F), states/eV/f.u.: 14.615
Magnetization, μB per cell: 0.00
Crystal system: monoclinic